Record 1
The following is a PBE-GGA calculation of V6RuW2 after structural relaxation, from Alexandria.

Geometry as POSCAR:
```
V6RuW2
1.0
6.567 -2.973 0.000
6.567 2.973 0.000
-1.266 0.000 3.909
V Ru W
6 1 2
direct
0.082 0.589 0.336
0.248 0.752 0.000
0.411 0.918 0.664
0.589 0.082 0.336
0.752 0.248 0.000
0.918 0.411 0.664
0.000 0.000 0.500
0.334 0.334 0.835
0.666 0.666 0.165
```

ΔE to the lowest computed polymorph: 0.762 eV per atom
Formation energy from the elements: 0.68 eV per atom

=====

Record 2
The following is a PBE-GGA calculation of PmHo2Co9 after structural relaxation, from Alexandria.

Geometry as POSCAR:
```
PmHo2Co9
1.0
2.502 1.445 8.090
-2.502 1.445 8.090
0.000 -2.889 8.090
Pm Ho Co
1 2 9
direct
0.000 0.000 0.000
0.140 0.140 0.140
0.860 0.860 0.860
0.078 0.584 0.584
0.335 0.335 0.335
0.416 0.416 0.922
0.416 0.922 0.416
0.500 0.500 0.500
0.584 0.078 0.584
0.584 0.584 0.078
0.665 0.665 0.665
0.922 0.416 0.416
```

Formation energy from the elements: -0.16 eV per atom

=====

Record 3
The following is a PBE-GGA calculation of ErPb6S8 after structural relaxation, from Alexandria.

Geometry as POSCAR:
```
ErPb6S8
1.0
4.628 2.672 5.713
-4.628 2.672 5.713
0.000 -5.344 5.713
Er Pb S
1 6 8
direct
0.000 0.000 0.000
0.024 0.734 0.479
0.266 0.521 0.976
0.479 0.024 0.734
0.521 0.976 0.266
0.734 0.479 0.024
0.976 0.266 0.521
0.086 0.333 0.836
0.164 0.914 0.667
0.318 0.318 0.318
0.333 0.836 0.086
0.667 0.164 0.914
0.682 0.682 0.682
0.836 0.086 0.333
0.914 0.667 0.164
```

Uncorrected formation energy: -0.66 eV/atom

=====

Record 4
The following is a PBE-GGA calculation of Te3Os after structural relaxation, from Alexandria.

Geometry as POSCAR:
```
Te3Os
1.0
3.639 0.000 0.000
-1.820 3.152 0.000
0.000 0.000 9.546
Te Os
3 1
direct
0.000 0.000 0.000
0.667 0.333 0.326
0.667 0.333 0.674
0.000 0.000 0.500
```

Uncorrected formation energy: 0.30 eV/atom

=====

In order of appearance, total moment = 0.000 10.614 0.000 0.000 μB/f.u..